[1]
A plane-wave DFT calculation with PBE-GGA was carried out for a relaxed Er4MnAg crystal.

Summary:
raw total energy = -5.10 eV per atom
volume = 301.34 Å³ per cell
DFT formation energy = -0.31 eV/f.u.

```
data_Er4MnAg
_cell_length_a 6.005
_cell_length_b 7.503
_cell_length_c 7.503
_cell_angle_alpha 111.80
_cell_angle_beta 99.03
_cell_angle_gamma 99.03
_symmetry_space_group_name_H-M 'P 1'
_symmetry_Int_Tables_number 1
loop_
_symmetry_equiv_pos_as_xyz
'x,y,z'
loop_
_atom_site_label
_atom_site_fract_x
_atom_site_fract_y
_atom_site_fract_z
Er1 0.542 0.273 0.933
Er2 0.042 0.933 0.273
Er3 0.399 0.792 0.634
Er4 0.899 0.634 0.792
Er5 0.458 0.727 0.067
Er6 0.101 0.366 0.208
Er7 0.958 0.067 0.727
Er8 0.601 0.208 0.366
Ag1 0.250 0.373 0.627
Ag2 0.750 0.627 0.373
Mn1 0.250 0.999 0.001
Mn2 0.750 0.001 0.999
```



[2]
A plane-wave DFT calculation with PBE-GGA was carried out for a relaxed Er3MnAg4S8 crystal.

Summary:
raw total energy = -5.24 eV per atom
volume = 365.71 Å³ per cell
uncorrected formation energy = -1.03 eV/atom

```
data_Er3MnAg4S8
_cell_length_a 7.707
_cell_length_b 9.531
_cell_length_c 7.925
_cell_angle_alpha 127.40
_cell_angle_beta 119.09
_cell_angle_gamma 90.00
_symmetry_space_group_name_H-M 'P 1'
_symmetry_Int_Tables_number 1
loop_
_symmetry_equiv_pos_as_xyz
'x,y,z'
loop_
_atom_site_label
_atom_site_fract_x
_atom_site_fract_y
_atom_site_fract_z
S1 0.794 0.696 0.034
S2 0.206 0.304 0.966
S3 0.267 0.713 0.533
S4 0.760 0.304 0.966
S5 0.764 0.712 0.527
S6 0.240 0.696 0.034
S7 0.733 0.287 0.467
S8 0.236 0.288 0.473
Ag1 0.000 0.000 0.000
Ag2 0.000 0.000 0.500
Ag3 0.500 0.000 0.500
Ag4 0.500 0.000 0.000
Er1 0.000 0.500 0.500
Er2 0.500 0.500 0.000
Er3 0.500 0.500 0.500
Mn1 0.000 0.500 0.000
```



[3]
A plane-wave DFT calculation with PBE-GGA was carried out for a relaxed ErScMnAg crystal.

Summary:
raw total energy = -5.73 eV per atom
volume = 83.73 Å³ per cell
DFT formation energy = -0.01 eV/f.u.

```
data_ErScMnAg
_cell_length_a 4.911
_cell_length_b 4.911
_cell_length_c 4.911
_cell_angle_alpha 60.00
_cell_angle_beta 60.00
_cell_angle_gamma 60.00
_symmetry_space_group_name_H-M 'P 1'
_symmetry_Int_Tables_number 1
loop_
_symmetry_equiv_pos_as_xyz
'x,y,z'
loop_
_atom_site_label
_atom_site_fract_x
_atom_site_fract_y
_atom_site_fract_z
Ag1 0.000 0.000 0.000
Sc1 0.250 0.250 0.250
Mn1 0.500 0.500 0.500
Er1 0.750 0.750 0.750
```